Material: Hf6SiSn3
Method: DFT, PBE-GGA
State: optimized geometry

Values from the calculation:
symmetry = No. 14

extended XYZ file:
```
20
Lattice="6.704 0.000 0.000 0.000 7.541 0.000 -6.520 0.000 8.991" Properties=species:S:1:pos:R:3 pbc="T T T"
Hf -1.495 0.513 2.149
Hf -4.755 3.258 6.645
Hf 0.875 5.142 0.457
Hf -2.385 6.170 4.953
Hf 2.359 1.134 0.417
Hf -0.901 2.636 4.913
Hf 1.085 4.905 4.078
Hf -2.175 6.407 8.574
Hf 2.569 1.371 4.038
Hf -0.691 2.399 8.534
Hf 4.939 4.283 2.346
Hf 1.679 7.028 6.842
Si 0.000 0.000 0.000
Si -3.260 3.770 4.495
Sn -2.642 1.074 6.700
Sn 0.618 2.696 2.204
Sn 0.092 0.000 4.495
Sn 3.352 3.770 0.000
Sn -0.433 4.844 6.787
Sn 2.827 6.467 2.291
```


Material: Hf5Si2Sn2
Method: DFT, PBE-GGA
State: optimized geometry

Values from the calculation:
symmetry = No. 64

extended XYZ file:
```
18
Lattice="7.127 -3.612 0.000 7.127 3.612 0.000 0.000 0.000 7.136" Properties=species:S:1:pos:R:3 pbc="T T T"
Hf 0.000 0.000 0.000
Hf 5.392 2.394 4.787
Hf 5.392 1.218 1.219
Hf 8.862 2.394 4.787
Hf 8.862 1.218 1.219
Hf 7.127 0.000 3.568
Hf 5.392 -1.218 5.917
Hf 5.392 -2.394 2.349
Hf 8.862 -1.218 5.917
Hf 8.862 -2.394 2.349
Si 7.127 2.705 2.677
Si 7.127 0.907 6.245
Si 7.127 -0.907 0.892
Si 7.127 -2.705 4.460
Sn 3.043 0.000 0.000
Sn 4.084 0.000 3.568
Sn 10.170 0.000 3.568
Sn 11.211 0.000 0.000
```


Material: Hf5Si2Sn
Method: DFT, PBE-GGA
State: optimized geometry

Values from the calculation:
symmetry = No. 140

extended XYZ file:
```
16
Lattice="-3.522 3.522 6.322 3.522 -3.522 6.322 3.522 3.522 -6.322" Properties=species:S:1:pos:R:3 pbc="T T T"
Hf 0.000 0.000 0.000
Hf 4.656 1.134 -1.814
Hf 1.134 2.389 -1.814
Hf 4.656 1.134 1.814
Hf 1.134 2.389 1.814
Hf 0.000 0.000 6.322
Hf 2.389 1.134 4.508
Hf -1.134 2.389 4.508
Hf 2.389 1.134 8.136
Hf -1.134 2.389 8.136
Si 2.584 0.938 0.000
Si 2.584 -0.938 6.322
Si 0.938 4.460 0.000
Si 0.938 2.584 6.322
Sn 0.000 0.000 3.161
Sn 0.000 0.000 9.484
```


Material: HfSiSn2Te
Method: DFT, PBE-GGA
State: optimized geometry

Values from the calculation:
symmetry = No. 123

extended XYZ file:
```
5
Lattice="5.565 0.000 0.000 0.000 5.565 0.000 0.000 0.000 5.414" Properties=species:S:1:pos:R:3 pbc="T T T"
Hf 0.000 0.000 0.000
Si 2.783 2.783 2.707
Sn 0.000 2.783 0.000
Sn 2.783 0.000 0.000
Te 0.000 0.000 2.707
```


Material: SrHfSi3
Method: DFT, PBE-GGA
State: optimized geometry

Values from the calculation:
offset from the most stable computed form = 0.0 meV/atom
symmetry = No. 221

extended XYZ file:
```
5
Lattice="5.079 0.000 0.000 0.000 5.079 0.000 0.000 0.000 5.079" Properties=species:S:1:pos:R:3 pbc="T T T"
Sr 0.000 0.000 0.000
Hf 2.539 2.539 2.539
Si 0.000 2.539 2.539
Si 2.539 0.000 2.539
Si 2.539 2.539 0.000
```


Material: SrHfSi3
Method: DFT, PBE-GGA
State: optimized geometry

Values from the calculation:
offset from the most stable computed form = 1682.3 meV/atom
symmetry = No. 221

extended XYZ file:
```
5
Lattice="5.088 0.000 0.000 0.000 5.088 0.000 0.000 0.000 5.088" Properties=species:S:1:pos:R:3 pbc="T T T"
Sr 0.000 0.000 0.000
Hf 2.544 2.544 2.544
Si 0.000 0.000 2.544
Si 0.000 2.544 0.000
Si 2.544 0.000 0.000
```


Material: Sr3HfSi
Method: DFT, PBE-GGA
State: optimized geometry

Values from the calculation:
offset from the most stable computed form = 581.7 meV/atom
symmetry = No. 221

extended XYZ file:
```
5
Lattice="6.024 0.000 0.000 0.000 6.024 0.000 0.000 0.000 6.024" Properties=species:S:1:pos:R:3 pbc="T T T"
Sr 0.000 0.000 3.012
Sr 0.000 3.012 0.000
Sr 3.012 0.000 0.000
Hf 0.000 0.000 0.000
Si 3.012 3.012 3.012
```


Material: Sr2HfSi
Method: DFT, PBE-GGA
State: optimized geometry

Values from the calculation:
symmetry = No. 122

extended XYZ file:
```
8
Lattice="-5.586 5.586 2.588 5.586 -5.586 2.588 5.586 5.586 -2.588" Properties=species:S:1:pos:R:3 pbc="T T T"
Sr 1.167 2.793 0.647
Sr -2.793 4.419 1.941
Sr -1.167 8.379 0.647
Sr 2.793 6.753 1.941
Hf 5.586 0.000 1.294
Hf 0.000 0.000 2.588
Si 0.000 0.000 0.000
Si 0.000 5.586 1.294
```


Material: Sr3HfSi
Method: DFT, PBE-GGA
State: optimized geometry

Values from the calculation:
offset from the most stable computed form = 0.0 meV/atom
symmetry = No. 221

extended XYZ file:
```
5
Lattice="5.986 0.000 0.000 0.000 5.986 0.000 0.000 0.000 5.986" Properties=species:S:1:pos:R:3 pbc="T T T"
Sr 0.000 0.000 2.993
Sr 0.000 2.993 0.000
Sr 2.993 0.000 0.000
Hf 2.993 2.993 2.993
Si 0.000 0.000 0.000
```


Material: Sr2HfTaSi
Method: DFT, PBE-GGA
State: optimized geometry

Values from the calculation:
symmetry = No. 123

extended XYZ file:
```
5
Lattice="6.081 0.000 0.000 0.000 6.081 0.000 0.000 0.000 4.921" Properties=species:S:1:pos:R:3 pbc="T T T"
Sr 0.000 3.041 0.000
Sr 3.041 0.000 0.000
Hf 0.000 0.000 0.000
Ta 0.000 0.000 2.460
Si 3.041 3.041 2.460
```


Material: SrHfSiTe2
Method: DFT, PBE-GGA
State: optimized geometry

Values from the calculation:
symmetry = No. 123

extended XYZ file:
```
5
Lattice="5.883 0.000 0.000 0.000 5.883 0.000 0.000 0.000 5.798" Properties=species:S:1:pos:R:3 pbc="T T T"
Sr 0.000 0.000 0.000
Hf 0.000 0.000 2.899
Si 2.941 2.941 2.899
Te 0.000 2.941 0.000
Te 2.941 0.000 0.000
```


Material: SrHfTiSi2
Method: DFT, PBE-GGA
State: optimized geometry

Values from the calculation:
symmetry = No. 123

extended XYZ file:
```
5
Lattice="5.065 0.000 0.000 0.000 5.065 0.000 0.000 0.000 5.509" Properties=species:S:1:pos:R:3 pbc="T T T"
Sr 0.000 0.000 0.000
Hf 0.000 0.000 2.755
Ti 2.532 2.532 0.000
Si 0.000 2.532 2.755
Si 2.532 0.000 2.755
```


Material: HfTa2Si
Method: DFT, PBE-GGA
State: optimized geometry

Values from the calculation:
symmetry = No. 63

extended XYZ file:
```
8
Lattice="1.795 -4.989 0.000 1.795 4.989 0.000 0.000 0.000 8.064" Properties=species:S:1:pos:R:3 pbc="T T T"
Hf 1.795 4.484 6.048
Hf 1.795 -4.484 2.016
Ta 1.795 1.415 4.407
Ta 1.795 1.415 7.689
Ta 1.795 -1.415 0.375
Ta 1.795 -1.415 3.657
Si 1.795 2.631 2.016
Si 1.795 -2.631 6.048
```


Material: HfTa2Si2
Method: DFT, PBE-GGA
State: optimized geometry

Values from the calculation:
offset from the most stable computed form = 320.5 meV/atom
symmetry = No. 12

extended XYZ file:
```
5
Lattice="4.970 -1.796 0.000 4.970 1.796 0.000 -1.153 0.000 4.912" Properties=species:S:1:pos:R:3 pbc="T T T"
Hf 0.000 0.000 0.000
Ta 3.058 0.000 2.097
Ta 5.729 0.000 2.815
Si 1.821 0.000 4.328
Si 6.965 0.000 0.584
```


Material: HfTaSi
Method: DFT, PBE-GGA
State: optimized geometry

Values from the calculation:
symmetry = No. 2

extended XYZ file:
```
6
Lattice="3.649 0.000 0.000 0.003 5.005 0.000 1.824 1.159 5.922" Properties=species:S:1:pos:R:3 pbc="T T T"
Hf 0.912 1.829 1.512
Hf 4.565 4.336 4.411
Ta 2.737 1.868 3.857
Ta 2.740 4.297 2.066
Si 0.916 4.234 0.230
Si 4.561 1.930 5.693
```


Material: HfTa2Si
Method: DFT, PBE-GGA
State: optimized geometry

Values from the calculation:
symmetry = No. 122

extended XYZ file:
```
8
Lattice="-3.849 3.849 2.631 3.849 -3.849 2.631 3.849 3.849 -2.631" Properties=species:S:1:pos:R:3 pbc="T T T"
Hf 0.000 0.000 0.000
Hf 0.000 3.849 1.316
Ta 1.924 -1.523 1.973
Ta 2.326 1.924 0.658
Ta 1.924 5.372 -0.658
Ta 1.523 1.924 3.289
Si 3.849 0.000 1.316
Si 0.000 0.000 2.631
```


Material: HfTaSi
Method: DFT, PBE-GGA
State: optimized geometry

Values from the calculation:
symmetry = No. 69

extended XYZ file:
```
6
Lattice="0.000 4.409 4.559 2.580 0.000 4.559 2.580 4.409 0.000" Properties=species:S:1:pos:R:3 pbc="T T T"
Hf 2.580 1.428 4.559
Hf 2.580 7.389 4.559
Ta 2.580 4.409 3.131
Ta 2.580 4.409 5.988
Si 1.290 2.204 2.280
Si 3.870 6.613 6.839
```


Material: Hf2Ta2Si
Method: DFT, PBE-GGA
State: optimized geometry

Values from the calculation:
offset from the most stable computed form = 0.0 meV/atom
symmetry = No. 127

extended XYZ file:
```
10
Lattice="6.720 0.000 0.000 0.000 6.720 0.000 0.000 0.000 4.399" Properties=species:S:1:pos:R:3 pbc="T T T"
Hf 1.115 2.245 0.000
Hf 2.245 5.605 0.000
Hf 4.475 1.115 0.000
Hf 5.605 4.475 0.000
Ta 0.962 4.322 2.199
Ta 2.398 0.962 2.199
Ta 4.322 5.757 2.199
Ta 5.757 2.398 2.199
Si 0.000 0.000 2.199
Si 3.360 3.360 2.199
```


Material: Hf2Ta2Si
Method: DFT, PBE-GGA
State: optimized geometry

Values from the calculation:
offset from the most stable computed form = 837.6 meV/atom
symmetry = No. 139

extended XYZ file:
```
5
Lattice="-1.916 1.916 7.055 1.916 -1.916 7.055 1.916 1.916 -7.055" Properties=species:S:1:pos:R:3 pbc="T T T"
Hf 1.916 0.000 3.527
Hf 0.000 1.916 3.527
Ta 0.000 0.000 1.236
Ta 0.000 0.000 12.873
Si 0.000 0.000 7.055
```


Material: HfTa2Si2
Method: DFT, PBE-GGA
State: optimized geometry

Values from the calculation:
offset from the most stable computed form = 0.0 meV/atom
symmetry = No. 127

extended XYZ file:
```
10
Lattice="6.851 0.000 0.000 0.000 6.851 0.000 0.000 0.000 3.505" Properties=species:S:1:pos:R:3 pbc="T T T"
Hf 0.000 0.000 0.000
Hf 3.425 3.425 0.000
Ta 1.168 2.257 1.753
Ta 2.257 5.682 1.753
Ta 4.594 1.168 1.753
Ta 5.682 4.594 1.753
Si 0.861 4.287 0.000
Si 2.564 0.861 0.000
Si 4.287 5.990 0.000
Si 5.990 2.564 0.000
```


Material: HfTaSi2
Method: DFT, PBE-GGA
State: optimized geometry

Values from the calculation:
offset from the most stable computed form = 241.2 meV/atom
symmetry = No. 122

extended XYZ file:
```
8
Lattice="-3.519 3.519 2.879 3.519 -3.519 2.879 3.519 3.519 -2.879" Properties=species:S:1:pos:R:3 pbc="T T T"
Hf 0.000 0.000 0.000
Hf 0.000 3.519 1.439
Ta 3.519 0.000 1.439
Ta 0.000 0.000 2.879
Si 1.760 -1.687 2.159
Si 1.832 1.760 0.720
Si 1.760 5.206 -0.720
Si 1.687 1.760 3.598
```


Material: HfTaSi
Method: DFT, PBE-GGA
State: optimized geometry

Values from the calculation:
symmetry = No. 51

extended XYZ file:
```
18
Lattice="12.240 0.000 0.000 0.000 3.668 0.000 0.000 0.000 7.094" Properties=species:S:1:pos:R:3 pbc="T T T"
Hf 0.605 0.000 1.685
Hf 3.060 0.000 5.978
Hf 5.515 0.000 1.685
Hf 6.725 0.000 5.408
Hf 9.180 0.000 1.115
Hf 11.635 0.000 5.408
Ta 1.385 1.834 4.001
Ta 3.060 1.834 1.372
Ta 4.735 1.834 4.001
Ta 7.505 1.834 3.093
Ta 9.180 1.834 5.721
Ta 10.855 1.834 3.093
Si 1.151 1.834 6.666
Si 3.060 0.000 3.200
Si 4.969 1.834 6.666
Si 7.271 1.834 0.428
Si 9.180 0.000 3.894
Si 11.089 1.834 0.428
```


Material: HfTaSi2
Method: DFT, PBE-GGA
State: optimized geometry

Values from the calculation:
offset from the most stable computed form = 161.1 meV/atom
symmetry = No. 225

extended XYZ file:
```
4
Lattice="0.000 3.213 3.213 3.213 0.000 3.213 3.213 3.213 0.000" Properties=species:S:1:pos:R:3 pbc="T T T"
Hf 0.000 0.000 0.000
Ta 3.213 3.213 3.213
Si 1.607 1.607 1.607
Si 4.820 4.820 4.820
```


Material: HfTaSi
Method: DFT, PBE-GGA
State: optimized geometry

Values from the calculation:
symmetry = No. 38

extended XYZ file:
```
12
Lattice="8.649 0.000 0.000 0.000 2.717 4.570 0.000 -2.717 4.570" Properties=species:S:1:pos:R:3 pbc="T T T"
Hf 1.587 0.000 0.000
Hf 2.640 0.000 3.076
Hf 6.009 0.000 3.076
Hf 7.062 0.000 0.000
Ta 0.000 0.000 4.627
Ta 4.324 -1.393 5.320
Ta 4.324 0.000 7.645
Ta 4.324 1.393 5.320
Si 0.000 -1.266 2.344
Si 0.000 1.266 2.344
Si 2.166 0.000 6.091
Si 6.483 0.000 6.091
```


no.,total magnetization (μB/atom),ΔE_f (raw) (kJ per mole of atoms)
1,0.00,-18.1
2,0.00,-55.4
3,0.00,-60.4
4,0.00,65.2
5,0.00,6.3
6,0.00,168.6
7,0.42,118.2
8,0.00,39.7
9,0.77,62.1
10,0.00,143.5
11,0.00,136.7
12,0.03,113.4
13,0.00,-45.4
14,0.00,-32.1
15,0.00,-36.0
16,0.00,25.5
17,0.00,-63.1
18,0.00,5.8
19,0.00,86.6
20,0.00,-63.0
21,0.00,-8.5
22,0.00,-59.8
23,0.00,-16.2
24,0.00,-31.0